[1]
{"formula": "Ce2DySn3", "functional": "PBE", "state": "relaxed", "lattice": [[4.532, 0.000, 0.000], [0.000, 6.305, 0.000], [-2.266, -3.152, 6.568]], "species": ["Ce", "Ce", "Sn", "Sn", "Sn", "Dy"], "fractional_positions": [[0.667, 0.167, 0.334], [0.333, 0.833, 0.666], [0.667, 0.667, 0.334], [0.333, 0.333, 0.666], [0.000, 0.000, 0.000], [0.000, 0.500, 0.000]], "de_polymorph_mev_per_atom": 121, "sg": "Immm (71)", "formation_enthalpy_0k_mev_per_atom": -476}



[2]
{"formula": "Ce2CuPdS5", "functional": "PBE", "state": "relaxed", "lattice": [[-3.103, -1.177, 2.124], [5.131, -6.525, 0.226], [4.729, 4.036, 9.146]], "species": ["Ce", "Ce", "Ce", "Ce", "S", "S", "S", "S", "S", "S", "S", "S", "S", "S", "Pd", "Pd", "Cu", "Cu"], "fractional_positions": [[0.886, 0.772, 0.198], [0.114, 0.228, 0.698], [0.869, 0.738, 0.802], [0.131, 0.262, 0.302], [0.645, 0.290, 0.503], [0.053, 0.107, 0.057], [0.306, 0.611, 0.346], [0.355, 0.710, 0.003], [0.714, 0.428, 0.167], [0.503, 0.007, 0.276], [0.947, 0.893, 0.557], [0.497, 0.993, 0.776], [0.286, 0.572, 0.667], [0.694, 0.389, 0.846], [0.797, 0.594, 0.520], [0.203, 0.406, 0.020], [0.565, 0.130, 0.954], [0.435, 0.870, 0.454]], "sg": "Cmc2_1 (36)", "raw_formation_energy_kcal_per_mol_atoms": -27.70}



| no. | N(E_F) (states/eV/cell) | electronic total energy (eV per atom) |
| --- | --- | --- |
| 1 | 7.458 | -5.22 |
| 2 | 18.029 | -5.84 |